Record 1
9
Lattice="3.4237 1.9767 7.5898 -3.4237 1.9767 7.5898 0.0000 -3.9533 7.5898" Properties=species:S:1:pos:R:3 comment="SmEr2Tm6 | Alexandria via LeMat-Bulk | GGA-PBE | optimized geometry" crystal_system=trigonal de_polymorph_mev_per_atom=304.6 pbc="T T T"
Sm 0.0000 0.0000 0.0000
Er 0.0000 0.0000 13.3629
Er 0.0000 0.0000 17.1419
Tm 0.0000 -2.0125 5.0749
Tm -1.7429 1.0063 5.0749
Tm 0.0000 -1.9491 10.1272
Tm -1.6880 0.9746 10.1272
Tm 1.7429 1.0063 5.0750
Tm 1.6880 0.9746 10.1271

***

Record 2
26
Lattice="11.5380 0.0000 0.0000 0.0000 20.3013 0.0000 0.0000 0.0000 3.5547" Properties=species:S:1:pos:R:3 comment="Sm5Er2Tm6 | Alexandria via LeMat-Bulk | GGA-PBE | optimized geometry" crystal_system=orthorhombic pbc="T T T"
Sm 0.0000 0.0000 0.0000
Sm 0.9722 5.5199 0.0000
Sm 2.2913 11.1613 0.0000
Sm 3.4777 1.0106 0.0000
Sm 4.7968 15.6705 0.0000
Sm 5.7690 10.1507 0.0000
Sm 6.7412 4.6308 0.0000
Sm 8.0603 19.2907 0.0000
Sm 9.2467 9.1400 0.0000
Sm 10.5658 14.7815 0.0000
Er 1.9654 14.4033 1.7774
Er 3.8036 4.2526 1.7774
Er 7.7344 16.0487 1.7774
Er 9.5726 5.8980 1.7774
Tm 0.7023 8.4894 1.7774
Tm 0.9344 2.6582 1.7774
Tm 2.0129 17.4896 0.0000
Tm 3.7561 7.3390 0.0000
Tm 4.8346 12.8089 1.7774
Tm 5.0667 18.6401 1.7774
Tm 6.4713 1.6612 1.7774
Tm 6.7034 7.4924 1.7774
Tm 7.7819 12.9624 0.0000
Tm 9.5251 2.8117 0.0000
Tm 10.6036 17.6431 1.7774
Tm 10.8357 11.8119 1.7774

***

Record 3
12
Lattice="6.2423 0.0000 0.0000 0.0058 7.1972 0.0000 2.0790 0.0012 8.6195" Properties=species:S:1:pos:R:3 comment="Sm7ErTm4 | Alexandria via LeMat-Bulk | GGA-PBE | optimized geometry" crystal_system=triclinic pbc="T T T"
Sm 0.0000 0.0000 0.0000
Sm 2.0815 3.5993 2.8870
Sm 3.1344 5.4044 5.7317
Sm 5.1905 1.7817 8.6089
Sm 3.1367 5.4168 0.0105
Sm 5.1928 1.7941 2.8877
Sm 6.2457 3.5991 5.7324
Er 0.0029 3.5986 0.0000
Tm 2.0713 0.0010 2.8940
Tm 3.1209 1.7824 5.7456
Tm 5.2063 5.4161 2.8738
Tm 6.2558 7.1975 5.7255

***

Record 4
18
Lattice="8.1505 -5.7623 0.0000 8.1505 5.7623 0.0000 -0.7179 0.0000 6.0205" Properties=species:S:1:pos:R:3 comment="Sm3Er4Tm2 | Alexandria via LeMat-Bulk | GGA-PBE | optimized geometry" crystal_system=monoclinic pbc="T T T"
Sm 7.6120 4.0544 4.5154
Sm 4.7666 1.7053 5.5211
Sm 5.1256 -1.7053 2.5108
Sm 10.4574 1.7053 3.5097
Sm 10.8164 -1.7053 0.4994
Sm 7.9710 -4.0544 1.5051
Er 3.4344 1.3152 2.2780
Er 6.8159 1.3186 2.7453
Er 3.0754 -1.3152 5.2883
Er 9.1261 1.3186 0.2650
Er 6.4569 -1.3186 5.7556
Er 12.5076 1.3152 0.7323
Er 8.7672 -1.3186 3.2753
Er 12.1486 -1.3152 3.7426
Tm 6.2928 4.4491 1.2575
Tm 9.6492 4.4491 1.7528
Tm 5.9338 -4.4491 4.2678
Tm 9.2903 -4.4491 4.7630

***

Record 5
18
Lattice="-4.4444 4.4444 7.2378 4.4444 -4.4444 7.2378 4.4444 4.4444 -7.2378" Properties=species:S:1:pos:R:3 comment="SmYEr5Tm2 | Alexandria via LeMat-Bulk | GGA-PBE | optimized geometry" crystal_system=tetragonal pbc="T T T"
Sm 4.4444 0.0000 3.6189
Sm 0.0000 4.4444 3.6189
Y 0.0000 0.0000 3.6189
Y 0.0000 0.0000 10.8567
Er 0.0000 0.0000 0.0000
Er 6.2368 1.7923 -1.8830
Er 1.7923 2.6521 -1.8830
Er 6.2368 1.7923 1.8830
Er 1.7923 2.6521 1.8830
Er 0.0000 0.0000 7.2378
Er 2.6521 1.7923 5.3548
Er -1.7923 2.6521 5.3548
Er 2.6521 1.7923 9.1208
Er -1.7923 2.6521 9.1208
Tm 3.4445 0.9999 0.0000
Tm 3.4445 -0.9999 7.2378
Tm 0.9999 5.4444 0.0000
Tm 0.9999 3.4445 7.2378

***

Record 6
18
Lattice="2.8176 -10.0840 0.0000 2.8176 10.0840 0.0000 0.0000 0.0000 10.6259" Properties=species:S:1:pos:R:3 comment="Sm5Y2ErTm | Alexandria via LeMat-Bulk | GGA-PBE | optimized geometry" crystal_system=orthorhombic pbc="T T T"
Sm 2.8176 9.7236 5.3129
Sm 2.8176 7.8020 8.2697
Sm 2.8176 6.0190 4.9233
Sm 2.8176 5.6620 0.7280
Sm 2.8176 0.3619 8.2419
Sm 2.8176 -0.3619 2.9289
Sm 2.8176 -5.6620 6.0409
Sm 2.8176 -6.0190 10.2362
Sm 2.8176 -7.8020 2.9568
Sm 2.8176 -9.7236 0.0000
Y 2.8176 2.3082 0.7464
Y 2.8176 2.2544 5.2451
Y 2.8176 -2.2544 10.5580
Y 2.8176 -2.3082 6.0593
Er 2.8176 8.2517 2.3296
Er 2.8176 -8.2517 7.6426
Tm 2.8176 4.0233 8.1557
Tm 2.8176 -4.0233 2.8428

***

| no. | electronic total energy (eV per atom) |
| --- | --- |
| 1 | -4.12 |
| 2 | -4.48 |
| 3 | -4.62 |
| 4 | -4.49 |
| 5 | -4.47 |
| 6 | -4.92 |